## i
Here is a relaxed structure of CdReIr from Alexandria via LeMat-Bulk. Energies are from PBE-GGA.

Calculated values
volume: 16.54 Å³ per atom

Cell lengths 4.5379, 4.5379, 2.7822 Å; angles 90.00, 90.00, 120.00 degrees
With the nearest neighbours (Å) after each atom.
Atoms (fractional coordinates):
Re (0.6667, 0.3333, 0.5001)  3 Ir 2.62, 2 Re 2.78
Ir (0.3333, 0.6667, 0.4998)  3 Re 2.62, 2 Ir 2.78
Cd (0.0000, 0.0000, 0.0001)  2 Cd 2.78, 6 Ir 2.97, 6 Re 2.97



## ii
Here is a relaxed structure of CdReIr from Alexandria via LeMat-Bulk. Energies are from PBE-GGA.

Calculated values
volume: 16.49 Å³ per atom

Cell lengths 6.4603, 6.4598, 6.4598 Å; angles 154.62, 154.62, 36.20 degrees
With the nearest neighbours (Å) after each atom.
Atoms (fractional coordinates):
Re (0.6823, 0.6823, 0.0000)  4 Ir 2.61, 4 Re 2.84
Ir (0.3186, 0.3186, 0.0000)  4 Re 2.61, 4 Ir 2.84
Cd (0.9991, 0.9991, 0.0000)  4 Cd 2.84, 4 Ir 2.99, 4 Re 3.01



## iii
Here is a relaxed structure of CdReIr from Alexandria via LeMat-Bulk. Energies are from PBE-GGA.

Calculated values
volume: 16.33 Å³ per atom

Cell lengths 2.8162, 2.8162, 7.1325 Å; angles 90.00, 90.00, 120.00 degrees
With the nearest neighbours (Å) after each atom.
Atoms (fractional coordinates):
Re (0.6667, 0.3333, 0.6448)  3 Ir 2.64, 6 Re 2.82
Ir (0.3333, 0.6667, 0.3537)  3 Re 2.64, 6 Ir 2.82
Cd (0.0000, 0.0000, 0.0015)  6 Cd 2.82, 3 Ir 2.99, 3 Re 3.02



## iv
Here is a relaxed structure of CdReIr from Alexandria via LeMat-Bulk. Energies are from PBE-GGA.

Calculated values
volume: 18.80 Å³ per atom

Cell lengths 4.3046, 4.3046, 4.3046 Å; angles 60.00, 60.00, 60.00 degrees
With the nearest neighbours (Å) after each atom.
Atoms (fractional coordinates):
Re (0.0000, 0.0000, 0.0000)  4 Ir 2.64
Ir (0.7500, 0.7500, 0.7500)  4 Re 2.64, 4 Cd 2.64
Cd (0.5000, 0.5000, 0.5000)  4 Ir 2.64



ii takes first place; second place is 66 meV/atom up.



## i
Here is a relaxed structure of Cd3ReIr from Alexandria via LeMat-Bulk. Energies are from PBE-GGA.

Calculated values
volume: 27.19 Å³ per atom

Cell lengths 5.1417, 5.1417, 5.1417 Å; angles 90.00, 90.00, 90.00 degrees
With the nearest neighbours (Å) after each atom.
Atoms (fractional coordinates):
Re (0.5000, 0.5000, 0.5000)  12 Cd 3.64
Ir (0.0000, 0.0000, 0.0000)  6 Cd 2.57
Cd (0.0000, 0.5000, 0.0000)  2 Ir 2.57
Cd (0.0000, 0.0000, 0.5000)  2 Ir 2.57
Cd (0.5000, 0.0000, 0.0000)  2 Ir 2.57



## ii
Here is a relaxed structure of Cd3ReIr from Alexandria via LeMat-Bulk. Energies are from PBE-GGA.

Calculated values
volume: 27.51 Å³ per atom

Cell lengths 5.1620, 5.1620, 5.1620 Å; angles 90.00, 90.00, 90.00 degrees
With the nearest neighbours (Å) after each atom.
Atoms (fractional coordinates):
Re (0.0000, 0.0000, 0.0000)  6 Cd 2.58
Ir (0.5000, 0.5000, 0.5000)  12 Cd 3.65
Cd (0.0000, 0.5000, 0.0000)  2 Re 2.58
Cd (0.0000, 0.0000, 0.5000)  2 Re 2.58
Cd (0.5000, 0.0000, 0.0000)  2 Re 2.58



i takes first place; second place is 442 meV/atom up.



## i
Here is a relaxed structure of CdRe2Ir2 from Alexandria via LeMat-Bulk. Energies are from PBE-GGA.

Calculated values
volume: 16.44 Å³ per atom

Cell lengths 7.7435, 7.7435, 2.7425 Å; angles 90.00, 90.00, 90.00 degrees
With the nearest neighbours (Å) after each atom.
Atoms (fractional coordinates):
Re (0.1697, 0.6697, 0.5000)  6 Ir 2.65-2.68, 2 Re 2.74
Re (0.6697, 0.8303, 0.5000)  6 Ir 2.65-2.68, 2 Re 2.74
Re (0.8303, 0.3303, 0.5000)  6 Ir 2.65-2.68, 2 Re 2.74
Re (0.3303, 0.1697, 0.5000)  6 Ir 2.65-2.68, 2 Re 2.74
Ir (0.3766, 0.8766, 0.0000)  6 Re 2.65-2.68, 3 Ir 2.70-2.74
Ir (0.8766, 0.6234, 0.0000)  6 Re 2.65-2.68, 3 Ir 2.70-2.74
Ir (0.6234, 0.1234, 0.0000)  6 Re 2.65-2.68, 3 Ir 2.70-2.74
Ir (0.1234, 0.3766, 0.0000)  6 Re 2.65-2.68, 3 Ir 2.70-2.74
Cd (0.0000, 0.0000, 0.0000)  2 Cd 2.74, 4 Ir 3.07
Cd (0.5000, 0.5000, 0.0000)  2 Cd 2.74, 4 Ir 3.07



## ii
Here is a relaxed structure of CdRe2Ir2 from Alexandria via LeMat-Bulk. Energies are from PBE-GGA.

Calculated values
volume: 16.58 Å³ per atom

Cell lengths 7.7689, 7.7689, 2.7475 Å; angles 90.00, 90.00, 90.00 degrees
With the nearest neighbours (Å) after each atom.
Atoms (fractional coordinates):
Re (0.3787, 0.8787, 0.0000)  6 Ir 2.65-2.70, 3 Re 2.67-2.75
Re (0.8787, 0.6213, 0.0000)  6 Ir 2.65-2.70, 3 Re 2.67-2.75
Re (0.6213, 0.1213, 0.0000)  6 Ir 2.65-2.70, 3 Re 2.67-2.75
Re (0.1213, 0.3787, 0.0000)  6 Ir 2.65-2.70, 3 Re 2.67-2.75
Ir (0.1671, 0.6671, 0.5000)  6 Re 2.65-2.70, 2 Ir 2.75
Ir (0.6671, 0.8329, 0.5000)  6 Re 2.65-2.70, 2 Ir 2.75
Ir (0.8329, 0.3329, 0.5000)  6 Re 2.65-2.70, 2 Ir 2.75
Ir (0.3329, 0.1671, 0.5000)  6 Re 2.65-2.70, 2 Ir 2.75
Cd (0.0000, 0.0000, 0.0000)  2 Cd 2.75
Cd (0.5000, 0.5000, 0.0000)  2 Cd 2.75



ii takes first place; second place is 35 meV/atom up.



## i
Here is a relaxed structure of CdIrRh from Alexandria via LeMat-Bulk. Energies are from PBE-GGA.

Calculated values
volume: 16.08 Å³ per atom

Cell lengths 2.8216, 4.5725, 7.6103 Å; angles 90.00, 100.64, 90.00 degrees
With the nearest neighbours (Å) after each atom.
Atoms (fractional coordinates):
Cd (0.9412, 0.2500, 0.3843)  4 Cd 2.82-2.87, 6 Rh 2.85-3.02, 2 Ir 2.94
Cd (0.0588, 0.7500, 0.6157)  4 Cd 2.82-2.87, 6 Rh 2.85-3.02, 2 Ir 2.94
Rh (0.3790, 0.7500, 0.2586)  4 Ir 2.63-2.82, 2 Rh 2.82, 4 Cd 2.85
Rh (0.6210, 0.2500, 0.7414)  4 Ir 2.63-2.82, 2 Rh 2.82, 4 Cd 2.85
Ir (0.7310, 0.7500, 0.9612)  4 Rh 2.63-2.82, 6 Ir 2.75-2.82, 2 Cd 2.94
Ir (0.2690, 0.2500, 0.0388)  4 Rh 2.63-2.82, 6 Ir 2.75-2.82, 2 Cd 2.94



## ii
Here is a relaxed structure of CdIrRh from Alexandria via LeMat-Bulk. Energies are from PBE-GGA.

Calculated values
volume: 16.37 Å³ per atom

Cell lengths 5.1056, 5.1056, 5.1056 Å; angles 148.00, 135.50, 55.86 degrees
With the nearest neighbours (Å) after each atom.
Atoms (fractional coordinates):
Cd (0.0000, 0.0000, 0.0000)  2 Cd 2.81, 5 Ir 2.85-2.91, 5 Rh 2.85-2.91
Ir (0.6846, 0.6846, 0.0000)  4 Rh 2.67, 2 Ir 2.81, 5 Cd 2.85-2.91
Rh (0.3155, 0.3155, 0.0000)  4 Ir 2.67, 2 Rh 2.81, 5 Cd 2.85-2.91



i takes first place; second place is 131 meV/atom up.



## i
Here is a relaxed structure of CdIrRh from Alexandria via LeMat-Bulk. Energies are from PBE-GGA.

Calculated values
volume: 15.97 Å³ per atom

Cell lengths 2.8281, 2.8281, 6.9150 Å; angles 90.00, 90.00, 120.00 degrees
With the nearest neighbours (Å) after each atom.
Atoms (fractional coordinates):
Cd (0.0000, 0.0000, 0.9976)  6 Cd 2.83, 3 Rh 2.89, 3 Ir 2.93
Ir (0.6667, 0.3333, 0.3495)  3 Rh 2.66, 6 Ir 2.83, 3 Cd 2.93
Rh (0.3333, 0.6667, 0.6529)  3 Ir 2.66, 6 Rh 2.83, 3 Cd 2.89



## ii
Here is a relaxed structure of CdIrRh from Alexandria via LeMat-Bulk. Energies are from PBE-GGA.

Calculated values
volume: 16.14 Å³ per atom

Cell lengths 6.3980, 6.3980, 6.3980 Å; angles 154.52, 154.52, 36.35 degrees
With the nearest neighbours (Å) after each atom.
Atoms (fractional coordinates):
Cd (0.0008, 0.0008, 0.0000)  4 Cd 2.82, 4 Rh 2.94, 4 Ir 2.96
Ir (0.3211, 0.3211, 0.0000)  4 Rh 2.65, 4 Ir 2.82, 4 Cd 2.96
Rh (0.6781, 0.6781, 0.0000)  4 Ir 2.65, 4 Rh 2.82, 4 Cd 2.94



## iii
Here is a relaxed structure of CdIrRh from Alexandria via LeMat-Bulk. Energies are from PBE-GGA.

Calculated values
volume: 16.18 Å³ per atom

Cell lengths 7.5666, 7.3029, 2.7970 Å; angles 84.52, 73.89, 21.59 degrees
With the nearest neighbours (Å) after each atom.
Atoms (fractional coordinates):
Cd (0.9990, 0.9990, 0.0010)  6 Cd 2.79-2.80, 2 Rh 2.81, 2 Ir 2.85
Ir (0.6724, 0.6724, 0.3276)  2 Rh 2.64, 6 Ir 2.79-2.80, 2 Cd 2.85
Rh (0.3286, 0.3286, 0.6714)  2 Ir 2.64, 6 Rh 2.79-2.80, 2 Cd 2.81



## iv
Here is a relaxed structure of CdIrRh from Alexandria via LeMat-Bulk. Energies are from PBE-GGA.

Calculated values
volume: 19.20 Å³ per atom

Cell lengths 4.3350, 4.3350, 4.3350 Å; angles 60.00, 60.00, 60.00 degrees
With the nearest neighbours (Å) after each atom.
Atoms (fractional coordinates):
Cd (0.5000, 0.5000, 0.5000)  4 Ir 2.65
Ir (0.7500, 0.7500, 0.7500)  4 Cd 2.65, 4 Rh 2.65
Rh (0.0000, 0.0000, 0.0000)  4 Ir 2.65



ii takes first place; second place is 47 meV/atom up.



## i
Here is a relaxed structure of CdIr2Rh2 from Alexandria via LeMat-Bulk. Energies are from PBE-GGA.

Calculated values
volume: 16.13 Å³ per atom

Cell lengths 7.6475, 7.6475, 2.7587 Å; angles 90.00, 90.00, 90.00 degrees
With the nearest neighbours (Å) after each atom.
Atoms (fractional coordinates):
Ir (0.1753, 0.6753, 0.5000)  6 Rh 2.59-2.69, 2 Ir 2.76
Ir (0.6753, 0.8247, 0.5000)  6 Rh 2.59-2.69, 2 Ir 2.76
Ir (0.8247, 0.3247, 0.5000)  6 Rh 2.59-2.69, 2 Ir 2.76
Ir (0.3247, 0.1753, 0.5000)  6 Rh 2.59-2.69, 2 Ir 2.76
Rh (0.3783, 0.8783, 0.0000)  6 Ir 2.59-2.69, 3 Rh 2.63-2.76
Rh (0.8783, 0.6217, 0.0000)  6 Ir 2.59-2.69, 3 Rh 2.63-2.76
Rh (0.6217, 0.1217, 0.0000)  6 Ir 2.59-2.69, 3 Rh 2.63-2.76
Rh (0.1217, 0.3783, 0.0000)  6 Ir 2.59-2.69, 3 Rh 2.63-2.76
Cd (0.0000, 0.0000, 0.0000)  2 Cd 2.76, 4 Rh 3.04
Cd (0.5000, 0.5000, 0.0000)  2 Cd 2.76, 4 Rh 3.04



## ii
Here is a relaxed structure of CdIr2Rh2 from Alexandria via LeMat-Bulk. Energies are from PBE-GGA.

Calculated values
volume: 16.20 Å³ per atom

Cell lengths 7.6376, 7.6376, 2.7768 Å; angles 90.00, 90.00, 90.00 degrees
With the nearest neighbours (Å) after each atom.
Atoms (fractional coordinates):
Ir (0.3799, 0.8799, 0.0000)  6 Rh 2.59-2.70, 3 Ir 2.59-2.78
Ir (0.8799, 0.6201, 0.0000)  6 Rh 2.59-2.70, 3 Ir 2.59-2.78
Ir (0.6201, 0.1201, 0.0000)  6 Rh 2.59-2.70, 3 Ir 2.59-2.78
Ir (0.1201, 0.3799, 0.0000)  6 Rh 2.59-2.70, 3 Ir 2.59-2.78
Rh (0.1771, 0.6771, 0.5000)  6 Ir 2.59-2.70, 2 Rh 2.78
Rh (0.6771, 0.8229, 0.5000)  6 Ir 2.59-2.70, 2 Rh 2.78
Rh (0.8229, 0.3229, 0.5000)  6 Ir 2.59-2.70, 2 Rh 2.78
Rh (0.3229, 0.1771, 0.5000)  6 Ir 2.59-2.70, 2 Rh 2.78
Cd (0.0000, 0.0000, 0.0000)  2 Cd 2.78, 4 Ir 3.04
Cd (0.5000, 0.5000, 0.0000)  2 Cd 2.78, 4 Ir 3.04



ii takes first place; second place is 37 meV/atom up.



## i
Here is a relaxed structure of CdIrRu from Alexandria via LeMat-Bulk. Energies are from PBE-GGA.

Calculated values
volume: 15.94 Å³ per atom

Cell lengths 2.8109, 2.8109, 6.9867 Å; angles 90.00, 90.00, 120.00 degrees
With the nearest neighbours (Å) after each atom.
Atoms (fractional coordinates):
Cd (0.0000, 0.0000, 0.9983)  6 Cd 2.81, 3 Ru 2.93, 3 Ir 2.96
Ir (0.3333, 0.6667, 0.3531)  3 Ru 2.63, 6 Ir 2.81
Ru (0.6667, 0.3333, 0.6486)  3 Ir 2.63, 6 Ru 2.81, 3 Cd 2.93



## ii
Here is a relaxed structure of CdIrRu from Alexandria via LeMat-Bulk. Energies are from PBE-GGA.

Calculated values
volume: 16.13 Å³ per atom

Cell lengths 6.4291, 6.4291, 6.4291 Å; angles 154.72, 154.72, 36.05 degrees
With the nearest neighbours (Å) after each atom.
Atoms (fractional coordinates):
Cd (0.0007, 0.0007, 0.0000)  4 Cd 2.81, 4 Ru 2.97, 4 Ir 2.99
Ir (0.3184, 0.3184, 0.0000)  4 Ru 2.60, 4 Ir 2.81
Ru (0.6810, 0.6810, 0.0000)  4 Ir 2.60, 4 Ru 2.81



## iii
Here is a relaxed structure of CdIrRu from Alexandria via LeMat-Bulk. Energies are from PBE-GGA.

Calculated values
volume: 18.86 Å³ per atom

Cell lengths 4.3093, 4.3093, 4.3093 Å; angles 60.00, 60.00, 60.00 degrees
With the nearest neighbours (Å) after each atom.
Atoms (fractional coordinates):
Cd (0.5000, 0.5000, 0.5000)  4 Ir 2.64
Ir (0.2500, 0.2500, 0.2500)  4 Cd 2.64, 4 Ru 2.64
Ru (0.0000, 0.0000, 0.0000)  4 Ir 2.64



## iv
Here is a relaxed structure of CdIrRu from Alexandria via LeMat-Bulk. Energies are from PBE-GGA.

Calculated values
volume: 16.31 Å³ per atom

Cell lengths 4.4852, 4.4852, 2.8090 Å; angles 90.00, 90.00, 120.00 degrees
With the nearest neighbours (Å) after each atom.
Atoms (fractional coordinates):
Cd (0.0000, 0.0000, 0.9999)  2 Cd 2.81, 6 Ir 2.95, 6 Ru 2.95
Ir (0.3333, 0.6667, 0.5001)  3 Ru 2.59, 2 Ir 2.81
Ru (0.6667, 0.3333, 0.5000)  3 Ir 2.59, 2 Ru 2.81



ii takes first place; second place is 90 meV/atom up.



## i
Here is a relaxed structure of CdIrRu from Alexandria via LeMat-Bulk. Energies are from PBE-GGA.

Calculated values
volume: 17.59 Å³ per atom

Cell lengths 2.7559, 4.6985, 15.0204 Å; angles 121.68, 137.14, 54.09 degrees
With the nearest neighbours (Å) after each atom.
Atoms (fractional coordinates):
Cd (0.2026, 0.5809, 0.6329)  4 Cd 2.76-3.02, 4 Ir 2.90-2.91, 1 Ru 3.05
Cd (0.7974, 0.4191, 0.3671)  4 Cd 2.76-3.02, 4 Ir 2.90-2.91, 1 Ru 3.05
Ir (0.1948, 0.8414, 0.1968)  5 Ru 2.62-2.71, 2 Ir 2.76, 4 Cd 2.90-2.91
Ir (0.8052, 0.1586, 0.8032)  5 Ru 2.62-2.71, 2 Ir 2.76, 4 Cd 2.90-2.91
Ru (0.2770, 0.7193, 0.9364)  5 Ir 2.62-2.71, 6 Ru 2.67-2.76
Ru (0.7230, 0.2807, 0.0636)  5 Ir 2.62-2.71, 6 Ru 2.67-2.76



## ii
Here is a relaxed structure of CdIrRu from Alexandria via LeMat-Bulk. Energies are from PBE-GGA.

Calculated values
volume: 16.28 Å³ per atom

Cell lengths 7.5983, 7.3421, 2.7899 Å; angles 84.46, 74.11, 21.44 degrees
With the nearest neighbours (Å) after each atom.
Atoms (fractional coordinates):
Cd (0.0002, 0.0002, 0.9998)  6 Cd 2.79-2.81, 2 Ru 2.87, 2 Ir 2.88
Ir (0.3261, 0.3261, 0.6739)  2 Ru 2.61, 6 Ir 2.79-2.81, 2 Cd 2.88
Ru (0.6737, 0.6737, 0.3263)  2 Ir 2.61, 6 Ru 2.79-2.81, 2 Cd 2.87



i takes first place; second place is 212 meV/atom up.